[1]
# Tb2Pr3DyS6, optimized geometry, DFT PBE
# Raw formation energy (meV per atom): -2020
# SG: C2/m, No. 12
data_Tb2Pr3DyS6
_symmetry_space_group_name_H-M 'P 1'
_symmetry_Int_Tables_number 1
_cell_length_a 6.9068
_cell_length_b 6.9068
_cell_length_c 7.0369
_cell_angle_alpha 99.40
_cell_angle_beta 99.40
_cell_angle_gamma 120.16
loop_
_symmetry_equiv_pos_as_xyz
'x,y,z'
loop_
_atom_site_label
_atom_site_fract_x
_atom_site_fract_y
_atom_site_fract_z
Tb1 0.1667 0.8333 0.0000
Tb2 0.8333 0.1667 0.0000
Pr1 0.0000 0.0000 0.5000
Pr2 0.3327 0.6673 0.5000
Pr3 0.6673 0.3327 0.5000
Dy1 0.5000 0.5000 0.0000
S1 0.0907 0.4227 0.7677
S2 0.2455 0.2455 0.2329
S3 0.4227 0.0907 0.7677
S4 0.5773 0.9093 0.2323
S5 0.7545 0.7545 0.7671
S6 0.9093 0.5773 0.2323

[2]
# Cs2CdGa3Sn4, optimized geometry, DFT PBE
# E_form (eV/atom): -0.13
# SG: P-4m2, No. 115
data_Cs2CdGa3Sn4
_symmetry_space_group_name_H-M 'P 1'
_symmetry_Int_Tables_number 1
_cell_length_a 5.0973
_cell_length_b 5.0973
_cell_length_c 11.6538
_cell_angle_alpha 90.00
_cell_angle_beta 90.00
_cell_angle_gamma 90.00
loop_
_symmetry_equiv_pos_as_xyz
'x,y,z'
loop_
_atom_site_label
_atom_site_fract_x
_atom_site_fract_y
_atom_site_fract_z
Cs1 0.0000 0.5000 0.2480
Cs2 0.5000 0.0000 0.7520
Cd1 0.5000 0.5000 0.0000
Ga1 0.0000 0.0000 0.0000
Ga2 0.0000 0.5000 0.6265
Ga3 0.5000 0.0000 0.3735
Sn1 0.0000 0.0000 0.5000
Sn2 0.0000 0.5000 0.8696
Sn3 0.5000 0.0000 0.1304
Sn4 0.5000 0.5000 0.5000

[3]
# Ce2Ga3CuPd4, optimized geometry, DFT PBE
# E_form (eV/atom): -0.67
# SG: P-4m2, No. 115
data_Ce2Ga3CuPd4
_symmetry_space_group_name_H-M 'P 1'
_symmetry_Int_Tables_number 1
_cell_length_a 4.1181
_cell_length_b 4.1181
_cell_length_c 11.1858
_cell_angle_alpha 90.00
_cell_angle_beta 90.00
_cell_angle_gamma 90.00
loop_
_symmetry_equiv_pos_as_xyz
'x,y,z'
loop_
_atom_site_label
_atom_site_fract_x
_atom_site_fract_y
_atom_site_fract_z
Ce1 0.0000 0.5000 0.2378
Ce2 0.5000 0.0000 0.7622
Ga1 0.0000 0.0000 0.0000
Ga2 0.0000 0.5000 0.6324
Ga3 0.5000 0.0000 0.3676
Cu1 0.5000 0.5000 0.0000
Pd1 0.0000 0.0000 0.5000
Pd2 0.0000 0.5000 0.8577
Pd3 0.5000 0.0000 0.1423
Pd4 0.5000 0.5000 0.5000

[4]
# TlCoSn2, optimized geometry, DFT PBE
# E_form (eV/atom): 0.51
# SG: Fm-3m, No. 225
data_TlCoSn2
_symmetry_space_group_name_H-M 'P 1'
_symmetry_Int_Tables_number 1
_cell_length_a 5.0300
_cell_length_b 5.0300
_cell_length_c 5.0300
_cell_angle_alpha 60.00
_cell_angle_beta 60.00
_cell_angle_gamma 60.00
loop_
_symmetry_equiv_pos_as_xyz
'x,y,z'
loop_
_atom_site_label
_atom_site_fract_x
_atom_site_fract_y
_atom_site_fract_z
Tl1 0.0000 0.0000 0.0000
Co1 0.5000 0.5000 0.5000
Sn1 0.2500 0.2500 0.2500
Sn2 0.7500 0.7500 0.7500

[5]
# Sm2Ga8Cu, optimized geometry, DFT PBE
# E_form (eV/atom): -0.41
# SG: P4/mmm, No. 123
data_Sm2Ga8Cu
_symmetry_space_group_name_H-M 'P 1'
_symmetry_Int_Tables_number 1
_cell_length_a 4.3630
_cell_length_b 4.3630
_cell_length_c 11.2280
_cell_angle_alpha 90.00
_cell_angle_beta 90.00
_cell_angle_gamma 90.00
loop_
_symmetry_equiv_pos_as_xyz
'x,y,z'
loop_
_atom_site_label
_atom_site_fract_x
_atom_site_fract_y
_atom_site_fract_z
Sm1 0.0000 0.0000 0.1929
Sm2 0.0000 0.0000 0.8071
Ga1 0.0000 0.5000 0.0000
Ga2 0.0000 0.5000 0.3789
Ga3 0.0000 0.5000 0.6211
Ga4 0.5000 0.0000 0.0000
Ga5 0.5000 0.0000 0.3789
Ga6 0.5000 0.0000 0.6211
Ga7 0.5000 0.5000 0.1980
Ga8 0.5000 0.5000 0.8020
Cu1 0.0000 0.0000 0.5000

[6]
# AcAl2CdAu4, optimized geometry, DFT PBE
# E_form (eV/atom): -0.49
# SG: R-3m, No. 166
data_AcAl2CdAu4
_symmetry_space_group_name_H-M 'P 1'
_symmetry_Int_Tables_number 1
_cell_length_a 10.4249
_cell_length_b 10.4249
_cell_length_c 10.4249
_cell_angle_alpha 24.65
_cell_angle_beta 24.65
_cell_angle_gamma 24.65
loop_
_symmetry_equiv_pos_as_xyz
'x,y,z'
loop_
_atom_site_label
_atom_site_fract_x
_atom_site_fract_y
_atom_site_fract_z
Ac1 0.0000 0.0000 0.0000
Al1 0.2400 0.2400 0.2400
Al2 0.7600 0.7600 0.7600
Cd1 0.5000 0.5000 0.5000
Au1 0.1200 0.1200 0.1200
Au2 0.3992 0.3992 0.3992
Au3 0.6008 0.6008 0.6008
Au4 0.8800 0.8800 0.8800

[7]
# ZrNbPd, optimized geometry, DFT PBE
# E_form (eV/atom): -0.34
# SG: C2/m, No. 12
data_ZrNbPd
_symmetry_space_group_name_H-M 'P 1'
_symmetry_Int_Tables_number 1
_cell_length_a 7.9303
_cell_length_b 7.9303
_cell_length_c 3.1915
_cell_angle_alpha 90.08
_cell_angle_beta 90.08
_cell_angle_gamma 34.02
loop_
_symmetry_equiv_pos_as_xyz
'x,y,z'
loop_
_atom_site_label
_atom_site_fract_x
_atom_site_fract_y
_atom_site_fract_z
Zr1 0.1709 0.1709 0.0018
Zr2 0.8291 0.8291 0.9982
Nb1 0.0000 0.0000 0.5000
Nb2 0.5000 0.5000 0.0000
Pd1 0.3468 0.3468 0.4985
Pd2 0.6532 0.6532 0.5015

[8]
# Tm6Si3C, optimized geometry, DFT PBE
# Raw formation energy (meV per atom): -528
# SG: P2_1/c, No. 14
data_Tm6Si3C
_symmetry_space_group_name_H-M 'P 1'
_symmetry_Int_Tables_number 1
_cell_length_a 6.2415
_cell_length_b 7.5398
_cell_length_c 11.4212
_cell_angle_alpha 90.00
_cell_angle_beta 122.04
_cell_angle_gamma 90.00
loop_
_symmetry_equiv_pos_as_xyz
'x,y,z'
loop_
_atom_site_label
_atom_site_fract_x
_atom_site_fract_y
_atom_site_fract_z
Tm1 0.0966 0.0502 0.2337
Tm2 0.0966 0.4498 0.7337
Tm3 0.2056 0.7047 0.0631
Tm4 0.2056 0.7953 0.5631
Tm5 0.3830 0.1648 0.0612
Tm6 0.3830 0.3352 0.5612
Tm7 0.6170 0.6648 0.4388
Tm8 0.6170 0.8352 0.9388
Tm9 0.7944 0.2047 0.4369
Tm10 0.7944 0.2953 0.9369
Tm11 0.9034 0.5502 0.2663
Tm12 0.9034 0.9498 0.7663
Si1 0.3098 0.1066 0.7473
Si2 0.3098 0.3934 0.2473
Si3 0.5000 0.0000 0.5000
Si4 0.5000 0.5000 0.0000
Si5 0.6902 0.6066 0.7527
Si6 0.6902 0.8934 0.2527
C1 0.0000 0.0000 0.0000
C2 0.0000 0.5000 0.5000

Magnetic moment for every record listed, in sequence, given in Bohr magnetons per cell: 0.00 0.00 1.48 0.26 0.00 0.00 0.00 0.00.